<one>
# TcW4

Crystalline TcW4 at its relaxed geometry (PBE, the Alexandria database).

abc: 7.0704 7.0704 3.1732
angles: 90.00 90.00 90.00
Space group I4/m (No. 87)
Symmetry-distinct sites (fractional):
Tc (0.0000, 0.0000, 0.0000) [2 per cell]
W (0.1027, 0.3013, 0.5000) [8 per cell]

---

<two>
# TcW4

Crystalline TcW4 at its relaxed geometry (PBE, the Alexandria database).

abc: 4.6310 4.6310 4.6310
angles: 90.00 90.00 90.00
Space group Pm-3m (No. 221)
Symmetry-distinct sites (fractional):
Tc (0.0000, 0.0000, 0.0000) [1 per cell]
W (0.0000, 0.0000, 0.5000) [3 per cell]
W (0.5000, 0.5000, 0.5000) [1 per cell]

---

Which of them is the most stable, and which is the least stable? <one> and <two>, in that order.

---

<one>
# Tc4W5

Crystalline Tc4W5 at its relaxed geometry (PBE, the Alexandria database).

abc: 9.4285 9.4285 3.1478
angles: 90.00 90.00 90.00
Space group I4/mmm (No. 139)
Symmetry-distinct sites (fractional):
Tc (0.0000, 0.3302, 0.0000) [8 per cell]
W (0.0000, 0.0000, 0.0000) [2 per cell]
W (0.1681, 0.1681, 0.5000) [8 per cell]

---

<two>
# Tc4W5

Crystalline Tc4W5 at its relaxed geometry (PBE, the Alexandria database).

abc: 7.8883 7.8883 5.2504
angles: 90.00 90.00 120.00
Space group P6_3/mcm (No. 193)
Symmetry-distinct sites (fractional):
Tc (0.0000, 0.0000, 0.0000) [2 per cell]
Tc (0.0000, 0.3730, 0.2500) [6 per cell]
W (0.0000, 0.2982, 0.7500) [6 per cell]
W (0.3333, 0.6667, 0.0000) [4 per cell]

---

Which of them is the most stable, and which is the least stable? <one> and <two>, in that order.

---

<one>
# Y3TcW

Crystalline Y3TcW at its relaxed geometry (PBE, the Alexandria database).

abc: 5.2216 5.2216 5.2216
angles: 90.00 90.00 90.00
Space group Pm-3m (No. 221)
Symmetry-distinct sites (fractional):
Y (0.0000, 0.0000, 0.5000) [3 per cell]
Tc (0.0000, 0.0000, 0.0000) [1 per cell]
W (0.5000, 0.5000, 0.5000) [1 per cell]

---

<two>
# Y3TcW

Crystalline Y3TcW at its relaxed geometry (PBE, the Alexandria database).

abc: 5.3387 5.3387 5.3387
angles: 90.00 90.00 90.00
Space group Pm-3m (No. 221)
Symmetry-distinct sites (fractional):
Y (0.0000, 0.0000, 0.5000) [3 per cell]
Tc (0.5000, 0.5000, 0.5000) [1 per cell]
W (0.0000, 0.0000, 0.0000) [1 per cell]

---

Which of them is the most stable, and which is the least stable? <one> and <two>, in that order.

---

<one>
# YTcW3

Crystalline YTcW3 at its relaxed geometry (PBE, the Alexandria database).

abc: 4.7034 4.7034 4.7034
angles: 90.00 90.00 90.00
Space group Pm-3m (No. 221)
Symmetry-distinct sites (fractional):
Y (0.0000, 0.0000, 0.0000) [1 per cell]
Tc (0.5000, 0.5000, 0.5000) [1 per cell]
W (0.0000, 0.0000, 0.5000) [3 per cell]

---

<two>
# YTcW3

Crystalline YTcW3 at its relaxed geometry (PBE, the Alexandria database).

abc: 4.7827 4.7827 4.7827
angles: 90.00 90.00 90.00
Space group Pm-3m (No. 221)
Symmetry-distinct sites (fractional):
Y (0.0000, 0.0000, 0.0000) [1 per cell]
Tc (0.5000, 0.5000, 0.5000) [1 per cell]
W (0.0000, 0.5000, 0.5000) [3 per cell]

---

Which of them is the most stable, and which is the least stable? <two> and <one>, in that order.

---

<one>
# Zn2TcW

Crystalline Zn2TcW at its relaxed geometry (PBE, the Alexandria database).

abc: 2.7101 4.3320 5.1098
angles: 90.00 97.92 90.00
Space group Pm (No. 6)
Symmetry-distinct sites (fractional):
Zn (0.0000, 0.0000, 0.0000) [1 per cell]
Zn (0.0217, 0.5000, 0.7594) [1 per cell]
Tc (0.6054, 0.5000, 0.2582) [1 per cell]
W (0.4190, 0.0000, 0.4994) [1 per cell]

---

<two>
# Zn2TcW

Crystalline Zn2TcW at its relaxed geometry (PBE, the Alexandria database).

abc: 2.6594 2.6594 8.3768
angles: 90.00 90.00 90.00
Space group P4/mmm (No. 123)
Symmetry-distinct sites (fractional):
Zn (0.0000, 0.0000, 0.2463) [2 per cell]
Tc (0.5000, 0.5000, 0.0000) [1 per cell]
W (0.5000, 0.5000, 0.5000) [1 per cell]

---

Which of them is the most stable, and which is the least stable? <one> and <two>, in that order.

---

<one>
# ZnTcW3

Crystalline ZnTcW3 at its relaxed geometry (PBE, the Alexandria database).

abc: 4.7115 4.7115 4.7115
angles: 90.00 90.00 90.00
Space group Pm-3m (No. 221)
Symmetry-distinct sites (fractional):
Zn (0.0000, 0.0000, 0.0000) [1 per cell]
Tc (0.5000, 0.5000, 0.5000) [1 per cell]
W (0.0000, 0.5000, 0.5000) [3 per cell]

---

<two>
# ZnTcW3

Crystalline ZnTcW3 at its relaxed geometry (PBE, the Alexandria database).

abc: 4.4894 4.4894 4.4894
angles: 90.00 90.00 90.00
Space group Pm-3m (No. 221)
Symmetry-distinct sites (fractional):
Zn (0.0000, 0.0000, 0.0000) [1 per cell]
Tc (0.5000, 0.5000, 0.5000) [1 per cell]
W (0.0000, 0.0000, 0.5000) [3 per cell]

---

Which of them is the most stable, and which is the least stable? <one> and <two>, in that order.

---

<one>
# ZrTc2W

Crystalline ZrTc2W at its relaxed geometry (PBE, the Alexandria database).

abc: 2.8348 4.5400 5.2436
angles: 90.00 101.18 90.00
Space group Pm (No. 6)
Symmetry-distinct sites (fractional):
Zr (0.0000, 0.0000, 0.0000) [1 per cell]
Tc (0.4928, 0.0000, 0.5019) [1 per cell]
Tc (0.7630, 0.5000, 0.2338) [1 per cell]
W (0.2664, 0.5000, 0.7232) [1 per cell]

---

<two>
# ZrTc2W

Crystalline ZrTc2W at its relaxed geometry (PBE, the Alexandria database).

abc: 6.4053 6.4053 6.4053
angles: 90.00 90.00 90.00
Space group F-43m (No. 216)
Symmetry-distinct sites (fractional):
Zr (0.0000, 0.0000, 0.0000) [4 per cell]
Tc (0.0000, 0.0000, 0.5000) [4 per cell]
Tc (0.2500, 0.2500, 0.7500) [4 per cell]
W (0.2500, 0.2500, 0.2500) [4 per cell]

---

<three>
# ZrTc2W

Crystalline ZrTc2W at its relaxed geometry (PBE, the Alexandria database).

abc: 2.8217 2.8217 29.1700
angles: 90.00 90.00 120.00
Space group R3m (No. 160, hexagonal axes)
Symmetry-distinct sites (fractional):
Zr (0.0000, 0.0000, 0.0000) [3 per cell]
Tc (0.0000, 0.0000, 0.2437) [3 per cell]
Tc (0.0000, 0.0000, 0.5051) [3 per cell]
W (0.0000, 0.0000, 0.7587) [3 per cell]

---

Which of them is the most stable, and which is the least stable? <one> and <three>, in that order.

---

<one>
# YTc2

Crystalline YTc2 at its relaxed geometry (PBE, the Alexandria database).

abc: 4.8636 4.8636 5.3710
angles: 90.00 90.00 120.00
Space group P6_3/mmc (No. 194)
Symmetry-distinct sites (fractional):
Y (0.3333, 0.6667, 0.2500) [2 per cell]
Tc (0.0000, 0.0000, 0.0000) [2 per cell]
Tc (0.3333, 0.6667, 0.7500) [2 per cell]

---

<two>
# YTc2

Crystalline YTc2 at its relaxed geometry (PBE, the Alexandria database).

abc: 6.4596 6.4596 6.4596
angles: 90.00 90.00 90.00
Space group Pa-3 (No. 205)
Symmetry-distinct sites (fractional):
Y (0.0000, 0.0000, 0.0000) [4 per cell]
Tc (0.1002, 0.6002, 0.8998) [8 per cell]

---

Which of them is the most stable, and which is the least stable? <one> and <two>, in that order.

---

<one>
# YTc2

Crystalline YTc2 at its relaxed geometry (PBE, the Alexandria database).

abc: 2.8955 7.7889 4.8043
angles: 90.00 90.00 90.00
Space group Pnnm (No. 58)
Symmetry-distinct sites (fractional):
Y (0.0000, 0.0000, 0.0000) [2 per cell]
Tc (0.1954, 0.3512, 0.0000) [4 per cell]

---

<two>
# YTc2

Crystalline YTc2 at its relaxed geometry (PBE, the Alexandria database).

abc: 3.1377 3.1377 11.5075
angles: 90.00 90.00 90.00
Space group I4/mmm (No. 139)
Symmetry-distinct sites (fractional):
Y (0.0000, 0.0000, 0.0000) [2 per cell]
Tc (0.0000, 0.0000, 0.3056) [4 per cell]

---

<three>
# YTc2

Crystalline YTc2 at its relaxed geometry (PBE, the Alexandria database).

abc: 10.3993 3.2598 6.6341
angles: 90.00 106.88 90.00
Space group C2/m (No. 12)
Symmetry-distinct sites (fractional):
Y (0.1590, 0.0000, 0.3186) [4 per cell]
Tc (0.0000, 0.5000, 0.0000) [2 per cell]
Tc (0.0000, 0.5000, 0.5000) [2 per cell]
Tc (0.1582, 0.0000, 0.8461) [4 per cell]

---

Which of them is the most stable, and which is the least stable? <two> and <one>, in that order.

---

<one>
# YTc2

Crystalline YTc2 at its relaxed geometry (PBE, the Alexandria database).

abc: 6.7132 6.7132 4.5090
angles: 90.00 90.00 120.00
Space group P-62m (No. 189)
Symmetry-distinct sites (fractional):
Y (0.0000, 0.0000, 0.0000) [1 per cell]
Y (0.3333, 0.6667, 0.5000) [2 per cell]
Tc (0.0000, 0.2217, 0.5000) [3 per cell]
Tc (0.0000, 0.4838, 0.0000) [3 per cell]

---

<two>
# YTc2

Crystalline YTc2 at its relaxed geometry (PBE, the Alexandria database).

abc: 3.2649 14.4307 4.6964
angles: 90.00 90.00 90.00
Space group Cmcm (No. 63)
Symmetry-distinct sites (fractional):
Y (0.0000, 0.0842, 0.2500) [4 per cell]
Tc (0.0000, 0.2433, 0.7500) [4 per cell]
Tc (0.0000, 0.3939, 0.2500) [4 per cell]

---

<three>
# YTc2

Crystalline YTc2 at its relaxed geometry (PBE, the Alexandria database).

abc: 5.3960 5.3960 17.7673
angles: 90.00 90.00 120.00
Space group P6_3/mmc (No. 194)
Symmetry-distinct sites (fractional):
Y (0.0000, 0.0000, 0.0929) [4 per cell]
Y (0.3333, 0.6667, 0.1560) [4 per cell]
Tc (0.0000, 0.5000, 0.0000) [6 per cell]
Tc (0.1603, 0.3206, 0.7500) [6 per cell]
Tc (0.3333, 0.6667, 0.6310) [4 per cell]

---

Which of them is the most stable, and which is the least stable? <three> and <one>, in that order.